No. 1
FeAsRh2: relaxed, PBE.

The structure belongs to space group Pmm2 (No. 25); the cell edges are 2.916, 3.863 and 5.155 Å and the angles 90.00°, 90.00° and 90.00°. The inequivalent atoms are Fe at (0.000, 0.000, 0.000), As at (0.500, 0.500, 0.678), Rh at (0.000, 0.000, 0.500) and Rh at (0.500, 0.500, 0.174).

The calculation puts the total energy at -0.5170 Ry/atom. As for the crystal system: orthorhombic. The energy of formation from the pure elements is -0.080 eV per atom.

No. 2
PrY2ScAs4: relaxed, PBE.

The structure belongs to space group P2/m (No. 10); the cell edges are 7.124, 4.124 and 7.137 Å and the angles 90.00°, 109.47° and 90.00°. The inequivalent atoms are Pr at (0.000, 0.000, 0.000), Y at (0.000, 0.500, 0.500), Y at (0.500, 0.000, 0.500), Sc at (0.500, 0.500, 0.000), As at (0.262, 0.500, 0.253) and As at (0.264, 0.000, 0.756).

The calculation puts the total energy at -0.4987 Ry/atom. As for the crystal system: monoclinic. The energy of formation from the pure elements is -1.455 eV per atom.

No. 3
Pa2GaFe: relaxed, PBE.

The structure belongs to space group P4/mmm (No. 123); the cell edges are 4.290, 4.290 and 4.149 Å and the angles 90.00°, 90.00° and 90.00°. The inequivalent atoms are Pa at (0.000, 0.500, 0.000), Ga at (0.000, 0.000, 0.500) and Fe at (0.500, 0.500, 0.500).

The calculation puts the total energy at -0.5693 Ry/atom. As for the crystal system: tetragonal. For the energy above the lowest structure with this stoichiometry, the calculation gives 0 meV per atom. The energy of formation from the pure elements is -0.125 eV per atom.

Repeat the third record exactly.
Pa2GaFe: relaxed, PBE.

The structure belongs to space group P4/mmm (No. 123); the cell edges are 4.290, 4.290 and 4.149 Å and the angles 90.00°, 90.00° and 90.00°. The inequivalent atoms are Pa at (0.000, 0.500, 0.000), Ga at (0.000, 0.000, 0.500) and Fe at (0.500, 0.500, 0.500).

The calculation puts the total energy at -0.5693 Ry/atom. As for the crystal system: tetragonal. For the energy above the lowest structure with this stoichiometry, the calculation gives 0 meV per atom. The energy of formation from the pure elements is -0.125 eV per atom.

Which value of energy of formation from the pure elements does entry 3 give? -0.125 eV per atom

Among the records above, which one has the lowest energy of formation from the pure elements? PrY2ScAs4